[1]
Density functional theory data (PBE) for an optimized crystal structure of TaAg2Au.

Output
* energy relative to the elements: 99 kJ/mol of formula units
* excess energy over the best structure of this formula in the dataset: 63 kJ/mol of formula units

Cell lengths 4.635, 4.635, 4.635 Å; angles 60.00, 60.00, 60.00 degrees
Sites, in units of the cell vectors:
1 Ta 0.000 0.000 0.000
2 Ag 0.500 0.500 0.500
3 Ag 0.750 0.750 0.750
4 Au 0.250 0.250 0.250



[2]
Density functional theory data (PBE) for an optimized crystal structure of PrMg7Ni5.

Output
* energy relative to the elements: -185 kJ/mol of formula units

Cell lengths 7.000, 7.000, 7.000 Å; angles 135.41, 98.72, 97.83 degrees
Sites, in units of the cell vectors:
1 Pr 0.000 0.000 0.000
2 Mg 0.246 0.539 0.707
3 Mg 0.274 0.774 0.500
4 Mg 0.360 0.360 0.000
5 Mg 0.405 0.064 0.341
6 Mg 0.682 0.682 0.000
7 Mg 0.722 0.064 0.659
8 Mg 0.832 0.539 0.293
9 Ni 0.041 0.044 0.484
10 Ni 0.041 0.557 0.997
11 Ni 0.560 0.044 0.003
12 Ni 0.560 0.557 0.516
13 Ni 0.819 0.319 0.500



[3]
Density functional theory data (PBE) for an optimized crystal structure of Ni14MoRh.

Output
* energy relative to the elements: 37 kJ/mol of formula units

Cell lengths 8.237, 5.065, 5.065 Å; angles 60.24, 90.00, 90.00 degrees
Sites, in units of the cell vectors:
1 Ni 0.000 0.000 0.000
2 Ni 0.000 0.000 0.499
3 Ni 0.000 0.499 0.000
4 Ni 0.000 0.499 0.499
5 Ni 0.245 0.170 0.667
6 Ni 0.245 0.667 0.170
7 Ni 0.246 0.666 0.666
8 Ni 0.248 0.167 0.167
9 Ni 0.500 0.333 0.834
10 Ni 0.500 0.834 0.333
11 Ni 0.752 0.167 0.167
12 Ni 0.754 0.666 0.666
13 Ni 0.755 0.170 0.667
14 Ni 0.755 0.667 0.170
15 Mo 0.500 0.335 0.335
16 Rh 0.500 0.834 0.834



[4]
Density functional theory data (PBE) for an optimized crystal structure of BeCd3Pd4.

Output
* energy relative to the elements: -333 kJ/mol of formula units

Cell lengths 2.942, 2.942, 14.701 Å; angles 90.00, 90.00, 90.00 degrees
Sites, in units of the cell vectors:
1 Be 0.000 0.000 0.000
2 Cd 0.000 0.000 0.232
3 Cd 0.000 0.000 0.500
4 Cd 0.000 0.000 0.768
5 Pd 0.500 0.500 0.093
6 Pd 0.500 0.500 0.366
7 Pd 0.500 0.500 0.634
8 Pd 0.500 0.500 0.907



[5]
Density functional theory data (PBE) for an optimized crystal structure of LiCaSnHg.

Output
* energy relative to the elements: -175 kJ/mol of formula units

Cell lengths 5.147, 5.147, 5.147 Å; angles 60.00, 60.00, 60.00 degrees
Sites, in units of the cell vectors:
1 Li 0.000 0.000 0.000
2 Ca 0.500 0.500 0.500
3 Sn 0.750 0.750 0.750
4 Hg 0.250 0.250 0.250



[6]
Density functional theory data (PBE) for an optimized crystal structure of Ac2TbPr2Y.

Output
* energy relative to the elements: 43 kJ/mol of formula units

Cell lengths 5.938, 10.243, 7.384 Å; angles 90.00, 90.00, 90.00 degrees
Sites, in units of the cell vectors:
1 Ac 0.000 0.000 0.000
2 Ac 0.000 0.000 0.500
3 Ac 0.500 0.174 0.250
4 Ac 0.500 0.826 0.750
5 Tb 0.000 0.337 0.750
6 Tb 0.000 0.663 0.250
7 Pr 0.000 0.346 0.250
8 Pr 0.000 0.654 0.750
9 Pr 0.500 0.176 0.750
10 Pr 0.500 0.824 0.250
11 Y 0.500 0.500 0.000
12 Y 0.500 0.500 0.500



[7]
Density functional theory data (PBE) for an optimized crystal structure of La2Au.

Output
* energy relative to the elements: -150 kJ/mol of formula units

Cell lengths 8.092, 8.092, 4.893 Å; angles 90.00, 90.00, 120.00 degrees
Sites, in units of the cell vectors:
1 La 0.000 0.271 0.000
2 La 0.000 0.601 0.500
3 La 0.271 0.000 0.000
4 La 0.399 0.399 0.500
5 La 0.601 0.000 0.500
6 La 0.729 0.729 0.000
7 Au 0.000 0.000 0.500
8 Au 0.333 0.667 0.000
9 Au 0.667 0.333 0.000



[8]
Density functional theory data (PBE) for an optimized crystal structure of Sr3Li.

Output
* energy relative to the elements: 32 kJ/mol of formula units
* excess energy over the best structure of this formula in the dataset: 17 kJ/mol of formula units

Cell lengths 6.584, 8.018, 7.200 Å; angles 90.00, 90.00, 90.00 degrees
Sites, in units of the cell vectors:
1 Sr 0.250 0.001 0.157
2 Sr 0.250 0.499 0.157
3 Sr 0.250 0.750 0.639
4 Sr 0.750 0.250 0.361
5 Sr 0.750 0.501 0.843
6 Sr 0.750 0.999 0.843
7 Li 0.250 0.250 0.675
8 Li 0.750 0.750 0.325



[9]
Density functional theory data (PBE) for an optimized crystal structure of RbBa.

Output
* energy relative to the elements: 13 kJ/mol of formula units

Cell lengths 4.620, 4.628, 16.020 Å; angles 89.84, 89.93, 60.45 degrees
Sites, in units of the cell vectors:
1 Rb 0.000 0.000 0.000
2 Rb 0.347 0.347 0.271
3 Ba 0.011 0.006 0.523
4 Ba 0.670 0.659 0.748



[10]
Density functional theory data (PBE) for an optimized crystal structure of PmSnAu5.

Output
* energy relative to the elements: -273 kJ/mol of formula units

Cell lengths 9.179, 5.720, 11.287 Å; angles 90.00, 90.00, 90.00 degrees
Sites, in units of the cell vectors:
1 Pm 0.245 0.250 0.055
2 Pm 0.255 0.750 0.555
3 Pm 0.745 0.250 0.445
4 Pm 0.755 0.750 0.945
5 Sn 0.152 0.250 0.345
6 Sn 0.348 0.750 0.845
7 Sn 0.652 0.250 0.155
8 Sn 0.848 0.750 0.655
9 Au 0.067 0.508 0.799
10 Au 0.067 0.992 0.799
11 Au 0.078 0.250 0.573
12 Au 0.092 0.750 0.022
13 Au 0.176 0.750 0.279
14 Au 0.324 0.250 0.779
15 Au 0.408 0.250 0.522
16 Au 0.422 0.750 0.073
17 Au 0.433 0.008 0.299
18 Au 0.433 0.492 0.299
19 Au 0.567 0.508 0.701
20 Au 0.567 0.992 0.701
21 Au 0.578 0.250 0.927
22 Au 0.592 0.750 0.478
23 Au 0.676 0.750 0.221
24 Au 0.824 0.250 0.721
25 Au 0.908 0.250 0.978
26 Au 0.922 0.750 0.427
27 Au 0.933 0.008 0.201
28 Au 0.933 0.492 0.201



[11]
Density functional theory data (PBE) for an optimized crystal structure of CaRu2.

Output
* energy relative to the elements: 100 kJ/mol of formula units

Cell lengths 5.290, 5.290, 7.954 Å; angles 108.21, 108.21, 31.12 degrees
Sites, in units of the cell vectors:
1 Ca 0.157 0.157 0.130
2 Ca 0.843 0.843 0.870
3 Ru 0.136 0.136 0.510
4 Ru 0.450 0.450 0.268
5 Ru 0.550 0.550 0.732
6 Ru 0.864 0.864 0.490



[12]
Density functional theory data (PBE) for an optimized crystal structure of Sm6GaGe2Se3.

Output
* raw formation energy: -1.317 eV per atom

Cell lengths 9.523, 9.523, 8.511 Å; angles 105.44, 105.44, 25.50 degrees
Sites, in units of the cell vectors:
1 Sm 0.000 0.000 0.247
2 Sm 0.000 0.000 0.753
3 Sm 0.331 0.331 0.925
4 Sm 0.333 0.333 0.413
5 Sm 0.667 0.667 0.587
6 Sm 0.669 0.669 0.075
7 Ga 0.500 0.500 0.500
8 Ge 0.165 0.165 0.829
9 Ge 0.835 0.835 0.171
10 Se 0.168 0.168 0.331
11 Se 0.500 0.500 0.000
12 Se 0.832 0.832 0.669